(1)
First-principles (meta-GGA SCAN) data for a crystal of NaLiBi2 relaxed with PBEsol, as listed in Alexandria.

Cell: 7.3699 7.3699 7.3699 Å, 90.00 90.00 90.00°
With the nearest neighbours (Å) after each atom.
Fractional coordinates of all 16 atoms:
Na: 0.0000 0.0000 0.0000  8 Bi 3.19
Na: 0.0000 0.5000 0.5000  8 Bi 3.19
Na: 0.5000 0.0000 0.5000  8 Bi 3.19
Na: 0.5000 0.5000 0.0000  8 Bi 3.19
Li: 0.0000 0.0000 0.5000  8 Bi 3.19
Li: 0.0000 0.5000 0.0000  8 Bi 3.19
Li: 0.5000 0.0000 0.0000  8 Bi 3.19
Li: 0.5000 0.5000 0.5000  8 Bi 3.19
Bi: 0.2500 0.2500 0.2500  4 Li 3.19, 4 Na 3.19
Bi: 0.2500 0.2500 0.7500  4 Na 3.19, 4 Li 3.19
Bi: 0.2500 0.7500 0.2500  4 Na 3.19, 4 Li 3.19
Bi: 0.2500 0.7500 0.7500  4 Na 3.19, 4 Li 3.19
Bi: 0.7500 0.2500 0.2500  4 Na 3.19, 4 Li 3.19
Bi: 0.7500 0.2500 0.7500  4 Na 3.19, 4 Li 3.19
Bi: 0.7500 0.7500 0.2500  4 Na 3.19, 4 Li 3.19
Bi: 0.7500 0.7500 0.7500  4 Na 3.19, 4 Li 3.19

Values from the calculation:
E_form	-0.347	eV per atom
density	7432	kg/m3



(2)
First-principles (meta-GGA SCAN) data for a crystal of NaLi2Bi2 relaxed with PBEsol, as listed in Alexandria.

Cell: 4.6164 4.6164 12.3015 Å, 90.00 90.00 90.00°
With the nearest neighbours (Å) after each atom.
Fractional coordinates of all 10 atoms:
Na: 0.0000 0.0000 0.0000  8 Bi 3.57, 8 Li 3.85
Na: 0.5000 0.5000 0.5000  8 Bi 3.57, 8 Li 3.85
Li: 0.0000 0.5000 0.2500  4 Bi 2.82
Li: 0.0000 0.5000 0.7500  4 Bi 2.82
Li: 0.5000 0.0000 0.2500  4 Bi 2.82
Li: 0.5000 0.0000 0.7500  4 Bi 2.82
Bi: 0.0000 0.0000 0.3818  4 Li 2.82, 1 Bi 2.91
Bi: 0.0000 0.0000 0.6182  4 Li 2.82, 1 Bi 2.91
Bi: 0.5000 0.5000 0.1182  4 Li 2.82, 1 Bi 2.91
Bi: 0.5000 0.5000 0.8818  4 Li 2.82, 1 Bi 2.91

Values from the calculation:
E_form	-0.352	eV per atom
density	5762	kg/m3
distance to the lowest polymorph of the same formula	63	meV per atom



(3)
First-principles (meta-GGA SCAN) data for a crystal of LiNbBi2 relaxed with PBEsol, as listed in Alexandria.

Cell: 7.0924 7.0924 7.0924 Å, 90.00 90.00 90.00°
With the nearest neighbours (Å) after each atom.
Fractional coordinates of all 16 atoms:
Li: 0.0000 0.0000 0.0000  8 Bi 3.07
Li: 0.0000 0.5000 0.5000  8 Bi 3.07
Li: 0.5000 0.0000 0.5000  8 Bi 3.07
Li: 0.5000 0.5000 0.0000  8 Bi 3.07
Nb: 0.0000 0.0000 0.5000  8 Bi 3.07
Nb: 0.0000 0.5000 0.0000  8 Bi 3.07
Nb: 0.5000 0.0000 0.0000  8 Bi 3.07
Nb: 0.5000 0.5000 0.5000  8 Bi 3.07
Bi: 0.2500 0.2500 0.2500  4 Nb 3.07, 4 Li 3.07
Bi: 0.2500 0.2500 0.7500  4 Nb 3.07, 4 Li 3.07
Bi: 0.2500 0.7500 0.2500  4 Nb 3.07, 4 Li 3.07
Bi: 0.2500 0.7500 0.7500  4 Nb 3.07, 4 Li 3.07
Bi: 0.7500 0.2500 0.2500  4 Nb 3.07, 4 Li 3.07
Bi: 0.7500 0.2500 0.7500  4 Nb 3.07, 4 Li 3.07
Bi: 0.7500 0.7500 0.2500  4 Nb 3.07, 4 Li 3.07
Bi: 0.7500 0.7500 0.7500  4 Nb 3.07, 4 Li 3.07

Values from the calculation:
E_form	0.057	eV per atom
density	9641	kg/m3